# 1
A relaxed structure of RbHoGeO4. Source: Alexandria, functional PBE.

Symmetry: P2_1/m
Final energy: -6.67 eV/atom
Raw formation energy: -2.39 eV/atom
Mass density: 5.1 Mg/m³

abc: 5.752 5.915 7.735
angles: 90.00 108.26 90.00
Element x y z (fractional)
O 0.450 0.750 0.206
O 0.957 0.477 0.671
O 0.957 0.023 0.671
Ge 0.742 0.250 0.655
O 0.043 0.523 0.329
Ge 0.258 0.750 0.345
O 0.043 0.977 0.329
O 0.527 0.250 0.434
O 0.550 0.250 0.794
O 0.473 0.750 0.566
Ho 0.799 0.750 0.463
Rb 0.310 0.250 0.066
Rb 0.690 0.750 0.934
Ho 0.201 0.250 0.537

***

# 2
A relaxed structure of MnZnFeCu. Source: Alexandria, functional PBE.

Energy of formation from the pure elements: 0.17 eV/atom
Symmetry: F-43m
Final energy: -5.58 eV/atom
Mass density: 8.1 Mg/m³

abc: 4.108 4.108 4.108
angles: 60.00 60.00 60.00
Element x y z (fractional)
Fe 0.750 0.750 0.750
Cu 0.250 0.250 0.250
Zn 0.500 0.500 0.500
Mn 0.000 0.000 0.000

***

# 3
A relaxed structure of Ho5AlPd4. Source: Alexandria, functional PBE.

Energy of formation from the pure elements: -0.80 eV/atom
Symmetry: P4/mmm
Final energy: -5.54 eV/atom
Mass density: 9.8 Mg/m³

abc: 3.507 3.507 17.655
angles: 90.00 90.00 90.00
Element x y z (fractional)
Ho 0.500 0.500 0.500
Al 0.000 0.000 0.000
Ho 0.500 0.500 0.302
Pd 0.000 0.000 0.202
Pd 0.000 0.000 0.401
Ho 0.500 0.500 0.894
Pd 0.000 0.000 0.798
Ho 0.500 0.500 0.698
Pd 0.000 0.000 0.599
Ho 0.500 0.500 0.106

***

# 4
A relaxed structure of CuSeF. Source: Alexandria, functional PBE.

Symmetry: P-1
Polymorph energy (0 for the lowest one): 0.00 eV/f.u.
Final energy: -3.95 eV/atom
Raw formation energy: -0.80 eV/atom
Mass density: 5.2 Mg/m³

abc: 3.217 5.434 6.653
angles: 68.57 76.08 72.68
Element x y z (fractional)
Cu 0.092 0.192 0.622
F 0.679 0.228 0.411
F 0.321 0.772 0.589
Se 0.441 0.229 0.887
Se 0.559 0.771 0.113
Cu 0.908 0.808 0.378

***

# 5
A relaxed structure of Li24Rh5. Source: Alexandria, functional PBE.

Energy of formation from the pure elements: -0.02 eV/atom
Symmetry: I-43m
Final energy: -2.87 eV/atom
Mass density: 2.6 Mg/m³

abc: 8.248 8.248 8.248
angles: 109.47 109.47 109.47
Element x y z (fractional)
Rh 0.000 0.000 0.342
Li 0.707 0.295 0.707
Li 0.411 0.411 0.705
Li 0.589 0.000 0.293
Li 0.707 0.707 0.295
Li 0.185 0.825 0.185
Li 0.359 0.175 0.359
Li 0.705 0.411 0.411
Rh 0.342 0.000 0.000
Li 0.293 0.589 0.000
Li 0.000 0.815 0.641
Li 0.815 0.000 0.641
Li 0.815 0.641 0.000
Rh 0.658 0.658 0.658
Li 0.359 0.359 0.175
Li 0.295 0.707 0.707
Li 0.411 0.705 0.411
Li 0.589 0.293 0.000
Li 0.185 0.185 0.825
Li 0.175 0.359 0.359
Li 0.293 0.000 0.589
Li 0.641 0.000 0.815
Li 0.000 0.641 0.815
Li 0.825 0.185 0.185
Li 0.641 0.815 0.000
Li 0.000 0.589 0.293
Rh 0.000 0.342 0.000
Rh 0.000 0.000 0.000
Li 0.000 0.293 0.589

***

# 6
A relaxed structure of CaInFe2. Source: Alexandria, functional PBE.

Energy of formation from the pure elements: 0.42 eV/atom
Symmetry: P2/m
Final energy: -4.99 eV/atom
Mass density: 5.3 Mg/m³

abc: 4.674 3.095 5.844
angles: 83.15 90.00 90.00
Element x y z (fractional)
Ca 0.500 0.750 0.750
In 0.500 0.250 0.250
Fe 0.000 0.479 0.409
Fe 0.000 0.021 0.091

***

# 7
A relaxed structure of YSnN. Source: Alexandria, functional PBE.

Symmetry: Fddd
Final energy: -6.24 eV/atom
Raw formation energy: 0.02 eV/atom
Mass density: 5.4 Mg/m³

abc: 6.366 6.366 8.490
angles: 99.94 99.94 122.67
Element x y z (fractional)
Y 0.680 0.320 0.000
Sn 0.089 0.089 0.178
Y 0.930 0.070 0.500
N 0.125 0.375 0.750
Y 0.320 0.680 0.000
N 0.625 0.375 0.250
Y 0.570 0.430 0.500
N 0.625 0.875 0.250
Sn 0.161 0.661 0.322
Sn 0.911 0.911 0.822
Sn 0.339 0.839 0.678
N 0.625 0.375 0.750

***

# 8
A relaxed structure of TaTlW. Source: Alexandria, functional PBE.

Energy of formation from the pure elements: 0.54 eV/atom
Symmetry: P1
Polymorph energy (0 for the lowest one): 0.52 eV/f.u.
Final energy: -8.52 eV/atom
Mass density: 15.9 Mg/m³

abc: 3.008 6.085 6.958
angles: 104.83 95.61 102.14
Element x y z (fractional)
Tl 0.391 0.004 0.616
W 0.348 0.902 0.024
W 0.118 0.304 0.990
Tl 0.620 0.544 0.702
Ta 0.680 0.678 0.256
Ta 0.887 0.244 0.322

***

# 9
A relaxed structure of ZrTi2W. Source: Alexandria, functional PBE.

Energy of formation from the pure elements: 0.54 eV/atom
Symmetry: I-42d
Final energy: -8.78 eV/atom
Mass density: 8.2 Mg/m³

abc: 7.271 7.271 5.879
angles: 51.80 51.80 90.00
Element x y z (fractional)
W 0.750 0.250 0.500
W 0.000 0.000 0.000
Ti 0.875 0.897 0.750
Zr 0.250 0.750 0.500
Ti 0.375 0.353 0.750
Zr 0.500 0.500 0.000
Ti 0.647 0.125 0.250
Ti 0.103 0.625 0.250

***

# 10
A relaxed structure of Dy6Ni2Pt. Source: Alexandria, functional PBE.

Energy of formation from the pure elements: -0.50 eV/atom
Symmetry: Immm
Polymorph energy (0 for the lowest one): 0.00 eV/f.u.
Final energy: -5.52 eV/atom
Mass density: 10.0 Mg/m³

abc: 8.223 8.223 8.223
angles: 108.49 109.34 110.58
Element x y z (fractional)
Dy 0.691 0.363 0.671
Dy 0.446 0.269 0.176
Pt 0.000 0.500 0.500
Pt 0.000 0.000 0.000
Dy 0.554 0.731 0.824
Dy 0.309 0.637 0.329
Ni 0.343 0.000 0.343
Ni 0.657 0.000 0.657
Dy 0.814 0.750 0.564
Dy 0.309 0.980 0.671
Ni 0.500 0.619 0.119
Dy 0.186 0.750 0.936
Ni 0.500 0.381 0.881
Dy 0.907 0.731 0.176
Dy 0.093 0.269 0.824
Dy 0.691 0.020 0.329
Dy 0.814 0.250 0.064
Dy 0.186 0.250 0.436

***

# 11
A relaxed structure of TaTeRu2. Source: Alexandria, functional PBE.

Symmetry: P2/m
Final energy: -8.19 eV/atom
Raw formation energy: 0.20 eV/atom
Mass density: 12.4 Mg/m³

abc: 4.171 2.998 5.676
angles: 73.72 90.00 90.00
Element x y z (fractional)
Te 0.500 0.750 0.750
Ru 0.000 0.619 0.496
Ta 0.500 0.250 0.250
Ru 0.000 0.881 0.004

***

# 12
A relaxed structure of Cd2OsRu. Source: Alexandria, functional PBE.

Energy of formation from the pure elements: 1.11 eV/atom
Symmetry: I-42d
Polymorph energy (0 for the lowest one): 3.75 eV/f.u.
Final energy: -4.47 eV/atom
Mass density: 11.5 Mg/m³

abc: 7.555 7.555 5.949
angles: 50.59 50.59 90.00
Element x y z (fractional)
Cd 0.375 0.377 0.750
Ru 0.250 0.750 0.500
Cd 0.623 0.125 0.250
Cd 0.127 0.625 0.250
Os 0.750 0.250 0.500
Cd 0.875 0.873 0.750
Ru 0.500 0.500 0.000
Os 0.000 0.000 0.000

***

Copy entry 12 word for word.
A relaxed structure of Cd2OsRu. Source: Alexandria, functional PBE.

Energy of formation from the pure elements: 1.11 eV/atom
Symmetry: I-42d
Polymorph energy (0 for the lowest one): 3.75 eV/f.u.
Final energy: -4.47 eV/atom
Mass density: 11.5 Mg/m³

abc: 7.555 7.555 5.949
angles: 50.59 50.59 90.00
Element x y z (fractional)
Cd 0.375 0.377 0.750
Ru 0.250 0.750 0.500
Cd 0.623 0.125 0.250
Cd 0.127 0.625 0.250
Os 0.750 0.250 0.500
Cd 0.875 0.873 0.750
Ru 0.500 0.500 0.000
Os 0.000 0.000 0.000